10
Lattice="3.7719 -3.8153 0.0000 3.7719 3.8153 0.0000 -3.7640 0.0000 3.7903" Properties=species:S:1:pos:R:3 comment="Pr2H6RuPt PBE optimized geometry" magnetic_moment_mub_per_cell=0.0 total_energy_ev_per_atom=-4.99 pbc="T T T"
Pr 3.7719 1.9080 0.0000
Pr 3.7719 -1.9080 0.0000
H 1.8899 2.0250 1.8952
H -1.8804 0.0000 3.6884
H -0.0814 0.0000 1.8921
H 3.8612 0.0000 1.8982
H 5.6601 0.0000 0.1019
H 1.8899 -2.0250 1.8952
Ru -1.8820 0.0000 1.8952
Pt 1.8899 0.0000 1.8952


5
Lattice="1.9645 -7.1599 0.0000 1.9645 7.1599 0.0000 0.0000 0.0000 4.0017" Properties=species:S:1:pos:R:3 comment="LiPm2Co2 PBE optimized geometry" magnetic_moment_mub_per_cell=1.6 formation_energy_ev_per_atom=-0.0423 pbc="T T T"
Li 0.0000 0.0000 0.0000
Pm 1.9645 2.0053 2.0009
Pm 1.9645 -2.0053 2.0009
Co 1.9645 4.1140 0.0000
Co 1.9645 -4.1140 0.0000


12
Lattice="8.1268 -2.6951 0.0000 8.1268 2.6951 0.0000 -5.3543 0.0000 8.3011" Properties=species:S:1:pos:R:3 comment="Ga2Bi5Pb5 PBE optimized geometry" magnetic_moment_mub_per_cell=0.0 formation_energy_ev_per_atom=0.0468 pbc="T T T"
Ga 2.5189 0.0000 0.1497
Ga 8.3805 0.0000 8.1514
Bi -2.6771 0.0000 4.1505
Bi -0.1641 0.0000 2.0312
Bi -0.2787 0.0000 6.6177
Bi 11.1781 0.0000 1.6834
Bi 11.0634 0.0000 6.2699
Pb 2.4785 0.0000 4.1975
Pb 5.2573 0.0000 2.0114
Pb 8.1268 0.0000 0.0000
Pb 5.6421 0.0000 6.2896
Pb 8.4208 0.0000 4.1035


8
Lattice="2.2694 1.3103 11.3004 -2.2694 1.3103 11.3004 0.0000 -2.6205 11.3004" Properties=species:S:1:pos:R:3 comment="NaCd4As3 PBE optimized geometry" magnetic_moment_mub_per_cell=0.0 formation_energy_ev_per_atom=-0.2044 pbc="T T T"
Na 0.0000 0.0000 0.0000
Cd 0.0000 0.0000 6.7996
Cd 0.0000 0.0000 13.7395
Cd 0.0000 0.0000 20.1617
Cd 0.0000 0.0000 27.1016
As 0.0000 0.0000 9.5030
As 0.0000 0.0000 16.9506
As 0.0000 0.0000 24.3983